UMoPb2O8 after structural relaxation, computed with GGA+U.

Geometry as POSCAR:
```
UMoPb2O8
1.0
5.3804 0.0000 0.0000
0.0000 6.7112 0.0000
-0.1104 0.0000 5.3893
U Mo Pb O
1 1 2 8
direct
0.0000 0.0000 0.0000 U
0.0000 0.5000 0.0000 Mo
0.5000 0.2612 0.5000 Pb
0.5000 0.7388 0.5000 Pb
0.1679 0.2697 0.8338 O
0.1679 0.7303 0.8338 O
0.2501 0.5000 0.2518 O
0.2544 0.0000 0.2561 O
0.7456 0.0000 0.7439 O
0.7499 0.5000 0.7482 O
0.8321 0.2697 0.1662 O
0.8321 0.7303 0.1662 O
```

energy	-88.1	eV per cell